Below is a relaxed structure of Ba2BeO, with properties calculated at the GGA-PBE level.

The theoretical density is 3.7 Mg/m³. Its uncorrected formation energy is -3.05 eV per formula unit. The total energy is -62.3 eV per cell. The energy above the most stable polymorph in this dataset is 0.0 kJ/mol of formula units.

Geometry as CIF:
```
data_Ba2BeO
_chemical_formula_sum 'Ba8 Be4 O4'
_space_group_name_H-M_alt 'I -4 2 d'
_space_group_IT_number 122
_space_group_name_Hall 'I -4 2bw'
_cell_length_a 7.532
_cell_length_b 7.532
_cell_length_c 9.384
_cell_angle_alpha 90.00
_cell_angle_beta 90.00
_cell_angle_gamma 90.00
loop_
_atom_site_label
_atom_site_type_symbol
_atom_site_fract_x
_atom_site_fract_y
_atom_site_fract_z
_atom_site_occupancy
Ba1 Ba 0.167 0.250 0.125 1
Be1 Be 0.000 0.000 0.500 1
O1 O 0.000 0.000 0.000 1
```

Below is a relaxed structure of NdSm3Ho, with properties calculated at the GGA-PBE level.

The theoretical density is 7.5 Mg/m³. Its energy of formation from the pure elements is 0.0160 eV per atom. The total energy is -46.8 eV per cell. The energy above the most stable polymorph in this dataset is 0.0 kJ/mol of formula units.

Geometry as CIF:
```
data_NdSm3Ho
_chemical_formula_sum 'Nd2 Sm6 Ho2'
_space_group_name_H-M_alt 'P -1'
_space_group_IT_number 2
_space_group_name_Hall '-P 1'
_cell_length_a 6.259
_cell_length_b 6.269
_cell_length_c 9.570
_cell_angle_alpha 102.54
_cell_angle_beta 109.07
_cell_angle_gamma 99.68
loop_
_atom_site_label
_atom_site_type_symbol
_atom_site_fract_x
_atom_site_fract_y
_atom_site_fract_z
_atom_site_occupancy
Nd1 Nd 0.000 0.000 0.000 1
Nd2 Nd 0.000 0.500 0.500 1
Sm1 Sm 0.201 0.098 0.699 1
Sm2 Sm 0.202 0.601 0.202 1
Sm3 Sm 0.400 0.699 0.899 1
Ho1 Ho 0.401 0.200 0.401 1
```